No. 1
A plane-wave DFT calculation with GGA-PBE was carried out for a geometry-optimized K3Nd2BiSe6 structure.

a = 7.524 Å, b = 13.031 Å, c = 8.110 Å
α = 90.00°, β = 108.02°, γ = 90.00°
Space group C2/m (No. 12)
Asymmetric unit:
K  0.000  0.000  0.000 (multiplicity 2)
K  0.000  0.335  0.000 (multiplicity 4)
Nd  0.000  0.167  0.500 (multiplicity 4)
Bi  0.000  0.500  0.500 (multiplicity 2)
Se  0.237  0.000  0.711 (multiplicity 4)
Se  0.237  0.333  0.711 (multiplicity 8)

Output
ΔE_f (raw) ... -1.44 eV/atom
Electronic total energy ... -4.5717 eV per atom
Spin magnetization ... 0.00 Bohr magnetons per cell

***

No. 2
A plane-wave DFT calculation with GGA-PBE was carried out for a geometry-optimized MnCoSe2 structure.

a = 3.219 Å, b = 3.450 Å, c = 11.725 Å
α = 90.00°, β = 90.00°, γ = 90.00°
Space group Imm2 (No. 44)
Asymmetric unit:
Mn  0.000  0.000  0.000 (multiplicity 2)
Co  0.000  0.500  0.290 (multiplicity 2)
Se  0.000  0.000  0.602 (multiplicity 2)
Se  0.000  0.500  0.840 (multiplicity 2)

Output
ΔE_f (raw) ... -0.04 eV/atom
Electronic total energy ... -5.8557 eV per atom
Spin magnetization ... 7.64 Bohr magnetons per cell
Energy above the most stable polymorph in this dataset ... 1.23 eV/f.u.

***

No. 3
A plane-wave DFT calculation with GGA-PBE was carried out for a geometry-optimized Tb5Pm2Hg structure.

a = 6.991 Å, b = 7.005 Å, c = 7.051 Å
α = 119.73°, β = 119.70°, γ = 90.05°
Space group P1 (No. 1)
Asymmetric unit:
Tb  0.000  0.000  0.000 (multiplicity 1)
Tb  0.005  0.002  0.529 (multiplicity 1)
Tb  0.505  0.503  0.076 (multiplicity 1)
Tb  0.530  0.006  0.060 (multiplicity 1)
Tb  0.958  0.501  0.981 (multiplicity 1)
Pm  0.060  0.503  0.529 (multiplicity 1)
Pm  0.477  0.002  0.529 (multiplicity 1)
Hg  0.517  0.502  0.529 (multiplicity 1)

Output
Electronic total energy ... -4.1792 eV per atom
Spin magnetization ... 0.00 Bohr magnetons per cell
Energy relative to the elements ... -0.060 eV/atom

***

No. 4
A plane-wave DFT calculation with GGA-PBE was carried out for a geometry-optimized CdSeBr2O structure.

a = 5.443 Å, b = 5.443 Å, c = 5.579 Å
α = 90.00°, β = 90.00°, γ = 90.00°
Space group P4/mmm (No. 123)
Asymmetric unit:
Cd  0.000  0.000  0.000 (multiplicity 1)
Se  0.000  0.000  0.500 (multiplicity 1)
Br  0.000  0.500  0.000 (multiplicity 2)
O  0.500  0.500  0.500 (multiplicity 1)

Output
ΔE_f (raw) ... 0.71 eV/atom
Electronic total energy ... -1.8299 eV per atom
Spin magnetization ... 2.02 Bohr magnetons per cell
Energy above the most stable polymorph in this dataset ... 1.97 eV/f.u.

***

No. 5
A plane-wave DFT calculation with GGA-PBE was carried out for a geometry-optimized Ce4TcBi structure.

a = 8.577 Å, b = 12.851 Å, c = 6.067 Å
α = 90.00°, β = 108.44°, γ = 90.00°
Space group C2/c (No. 15)
Asymmetric unit:
Ce  0.120  0.189  0.080 (multiplicity 8)
Ce  0.235  0.403  0.339 (multiplicity 8)
Tc  0.000  0.008  0.750 (multiplicity 4)
Bi  0.000  0.393  0.750 (multiplicity 4)

Output
Electronic total energy ... -6.5991 eV per atom
Spin magnetization ... 6.96 Bohr magnetons per cell
Energy relative to the elements ... -0.269 eV/atom
Energy above the most stable polymorph in this dataset ... 0.07 eV/f.u.

***

No. 6
A plane-wave DFT calculation with GGA-PBE was carried out for a geometry-optimized CdSi structure.

a = 8.301 Å, b = 8.301 Å, c = 8.301 Å
α = 90.00°, β = 90.00°, γ = 90.00°
Space group I-43m (No. 217)
Asymmetric unit:
Cd  0.208  0.208  0.792 (multiplicity 8)
Si  0.107  0.107  0.107 (multiplicity 8)

Output
ΔE_f (raw) ... 0.61 eV/atom
Electronic total energy ... -2.5561 eV per atom
Spin magnetization ... 0.00 Bohr magnetons per cell

***

No. 7
A plane-wave DFT calculation with GGA-PBE was carried out for a geometry-optimized Pu2VWN5 structure.

a = 3.238 Å, b = 12.878 Å, c = 10.067 Å
α = 90.00°, β = 90.00°, γ = 90.00°
Space group Cmc2_1 (No. 36)
Asymmetric unit:
Pu  0.000  0.107  0.000 (multiplicity 4)
Pu  0.000  0.147  0.608 (multiplicity 4)
V  0.000  0.475  0.771 (multiplicity 4)
W  0.000  0.211  0.320 (multiplicity 4)
N  0.000  0.049  0.365 (multiplicity 4)
N  0.000  0.283  0.959 (multiplicity 4)
N  0.000  0.321  0.683 (multiplicity 4)
N  0.000  0.368  0.308 (multiplicity 4)
N  0.000  0.489  0.092 (multiplicity 4)

Output
ΔE_f (raw) ... -0.98 eV/atom
Electronic total energy ... -11.2468 eV per atom
Spin magnetization ... 36.05 Bohr magnetons per cell

***

No. 8
A plane-wave DFT calculation with GGA-PBE was carried out for a geometry-optimized TaSiPbC2 structure.

a = 4.243 Å, b = 4.243 Å, c = 5.122 Å
α = 90.00°, β = 90.00°, γ = 90.00°
Space group P4/mmm (No. 123)
Asymmetric unit:
Ta  0.000  0.000  0.000 (multiplicity 1)
Si  0.000  0.000  0.500 (multiplicity 1)
Pb  0.500  0.500  0.500 (multiplicity 1)
C  0.000  0.500  0.000 (multiplicity 2)

Output
ΔE_f (raw) ... 1.29 eV/atom
Electronic total energy ... -6.5914 eV per atom
Spin magnetization ... 0.00 Bohr magnetons per cell

***

No. 9
A plane-wave DFT calculation with GGA-PBE was carried out for a geometry-optimized Ca2PuF8 structure.

a = 3.763 Å, b = 6.143 Å, c = 11.469 Å
α = 90.00°, β = 90.00°, γ = 90.00°
Space group Immm (No. 71)
Asymmetric unit:
Ca  0.000  0.000  0.173 (multiplicity 4)
Pu  0.000  0.000  0.500 (multiplicity 2)
F  0.000  0.199  0.000 (multiplicity 4)
F  0.000  0.261  0.342 (multiplicity 8)
F  0.000  0.500  0.128 (multiplicity 4)

Output
ΔE_f (raw) ... -3.59 eV/atom
Electronic total energy ... -6.6164 eV per atom
Spin magnetization ... 8.00 Bohr magnetons per cell

***

No. 10
A plane-wave DFT calculation with GGA-PBE was carried out for a geometry-optimized Sm8GaHg2 structure.

a = 5.126 Å, b = 8.581 Å, c = 14.776 Å
α = 90.00°, β = 90.00°, γ = 90.00°
Space group Immm (No. 71)
Asymmetric unit:
Sm  0.000  0.000  0.131 (multiplicity 4)
Sm  0.000  0.226  0.342 (multiplicity 8)
Sm  0.000  0.318  0.000 (multiplicity 4)
Ga  0.000  0.500  0.500 (multiplicity 2)
Hg  0.000  0.500  0.198 (multiplicity 4)

Output
Electronic total energy ... -3.9540 eV per atom
Spin magnetization ... 0.00 Bohr magnetons per cell
Energy relative to the elements ... -0.192 eV/atom
Energy above the most stable polymorph in this dataset ... 0.60 eV/f.u.